1.
VASP calculation (PBE-GGA) on a relaxed PmNdBeZn crystal.

a b c (Å): 5.084 5.084 5.084
angles (deg): 60.00 60.00 60.00
Positions (direct):
Be (0.250, 0.250, 0.250)
Zn (0.750, 0.750, 0.750)
Nd (0.500, 0.500, 0.500)
Pm (0.000, 0.000, 0.000)

Results
Formation energy from the elements, eV per atom: -0.05



2.
VASP calculation (PBE-GGA) on a relaxed ScPaPb2 crystal.

a b c (Å): 3.262 5.686 5.686
angles (deg): 90.00 90.00 90.00
Site moments in Bohr magnetons follow the coordinates.
Positions (direct):
Pb (0.000, 0.000, 0.500)  -0.01
Pb (0.000, 0.500, 0.000)  -0.01
Sc (0.500, 0.000, 0.000)  0.28
Pa (0.500, 0.500, 0.500)  0.56

Results
Formation energy from the elements, eV per atom: -0.08
Polymorph energy (0 for the lowest one), eV/atom: 0.001



3.
VASP calculation (PBE-GGA) on a relaxed LaNdSb crystal.

a b c (Å): 4.596 4.596 9.083
angles (deg): 90.03 89.97 90.00
Positions (direct):
La (0.749, 0.749, 0.000)
La (0.251, 0.251, 0.000)
Nd (0.751, 0.249, 0.639)
Nd (0.249, 0.751, 0.361)
Sb (0.251, 0.749, 0.717)
Sb (0.749, 0.251, 0.283)

Results
E_tot, eV per atom: -5.483



4.
VASP calculation (PBE-GGA) on a relaxed Pm2AgRh crystal.

a b c (Å): 4.110 4.110 7.771
angles (deg): 74.67 74.67 60.00
Positions (direct):
Pm (0.070, 0.070, 0.790)
Pm (0.263, 0.263, 0.211)
Ag (0.501, 0.501, 0.496)
Rh (0.666, 0.666, 0.003)

Results
Formation energy from the elements, eV per atom: -0.43
Polymorph energy (0 for the lowest one), eV/atom: 0.061



5.
VASP calculation (PBE-GGA) on a relaxed SmTaO4 crystal.

a b c (Å): 5.450 7.669 7.708
angles (deg): 80.72 90.00 90.00
Positions (direct):
Sm (0.280, 0.648, 0.606)
Sm (0.220, 0.648, 0.106)
Sm (0.780, 0.352, 0.894)
Sm (0.720, 0.352, 0.394)
Ta (0.769, 0.836, 0.810)
Ta (0.731, 0.836, 0.310)
Ta (0.269, 0.164, 0.690)
Ta (0.231, 0.164, 0.190)
O (0.094, 0.939, 0.697)
O (0.406, 0.939, 0.197)
O (0.640, 0.832, 0.559)
O (0.860, 0.832, 0.059)
O (0.503, 0.673, 0.875)
O (0.986, 0.615, 0.829)
O (0.997, 0.673, 0.375)
O (0.514, 0.615, 0.329)
O (0.486, 0.385, 0.671)
O (0.003, 0.327, 0.625)
O (0.014, 0.385, 0.171)
O (0.497, 0.327, 0.125)
O (0.140, 0.168, 0.941)
O (0.360, 0.168, 0.441)
O (0.594, 0.061, 0.803)
O (0.906, 0.061, 0.303)

Results
E_tot, eV per atom: -9.286



6.
VASP calculation (PBE-GGA) on a relaxed HfTaTe2 crystal.

a b c (Å): 9.907 9.907 9.907
angles (deg): 20.00 20.00 20.00
Positions (direct):
Te (0.901, 0.901, 0.901)
Te (0.099, 0.099, 0.099)
Hf (0.000, 0.000, 0.000)
Ta (0.500, 0.500, 0.500)

Results
Polymorph energy (0 for the lowest one), eV/atom: 0.244



7.
VASP calculation (PBE-GGA) on a relaxed HoLuMgCd crystal.

a b c (Å): 5.260 5.260 5.260
angles (deg): 60.00 60.00 60.00
Positions (direct):
Mg (0.250, 0.250, 0.250)
Lu (0.000, 0.000, 0.000)
Ho (0.500, 0.500, 0.500)
Cd (0.750, 0.750, 0.750)

Results
Formation energy from the elements, eV per atom: -0.18



8.
VASP calculation (PBE-GGA) on a relaxed Ni2PPt crystal.

a b c (Å): 3.051 3.051 5.379
angles (deg): 90.00 90.00 90.00
Positions (direct):
Ni (0.000, 0.000, 0.032)
Ni (0.500, 0.500, 0.265)
P (0.000, 0.000, 0.449)
Pt (0.500, 0.500, 0.754)

Results
Formation energy from the elements, eV per atom: -0.12



9.
VASP calculation (PBE-GGA) on a relaxed CrTc2Ru6 crystal.

a b c (Å): 5.089 7.170 7.170
angles (deg): 91.47 95.78 95.78
Positions (direct):
Cr (0.250, 0.898, 0.102)
Cr (0.750, 0.102, 0.898)
Tc (0.130, 0.400, 0.339)
Tc (0.370, 0.661, 0.600)
Tc (0.870, 0.600, 0.661)
Tc (0.630, 0.339, 0.400)
Ru (0.496, 0.319, 0.735)
Ru (0.004, 0.265, 0.681)
Ru (0.504, 0.681, 0.265)
Ru (0.996, 0.735, 0.319)
Ru (0.738, 0.939, 0.544)
Ru (0.762, 0.456, 0.061)
Ru (0.262, 0.061, 0.456)
Ru (0.238, 0.544, 0.939)
Ru (0.327, 0.216, 0.081)
Ru (0.173, 0.919, 0.784)
Ru (0.673, 0.784, 0.919)
Ru (0.827, 0.081, 0.216)

Results
Formation energy from the elements, eV per atom: 0.24



10.
VASP calculation (PBE-GGA) on a relaxed Cs3YNb crystal.

a b c (Å): 7.032 7.032 7.032
angles (deg): 90.00 90.00 90.00
Site moments in Bohr magnetons follow the coordinates.
Positions (direct):
Cs (0.000, 0.500, 0.000)  0.06
Cs (0.000, 0.000, 0.500)  0.06
Cs (0.500, 0.000, 0.000)  0.05
Y (0.000, 0.000, 0.000)  0.91
Nb (0.500, 0.500, 0.500)  3.03

Results
Formation energy from the elements, eV per atom: 1.84



11.
VASP calculation (PBE-GGA) on a relaxed YThPt6 crystal.

a b c (Å): 4.188 4.188 8.337
angles (deg): 90.00 90.00 90.00
Positions (direct):
Y (0.000, 0.000, 0.000)
Th (0.000, 0.000, 0.500)
Pt (0.500, 0.500, 0.000)
Pt (0.500, 0.500, 0.500)
Pt (0.500, 0.000, 0.247)
Pt (0.500, 0.000, 0.753)
Pt (0.000, 0.500, 0.247)
Pt (0.000, 0.500, 0.753)

Results
Formation energy from the elements, eV per atom: -1.08



12.
VASP calculation (PBE-GGA) on a relaxed NaHoTlSn crystal.

a b c (Å): 5.326 5.326 5.326
angles (deg): 60.00 60.00 60.00
Positions (direct):
Na (0.000, 0.000, 0.000)
Tl (0.750, 0.750, 0.750)
Ho (0.500, 0.500, 0.500)
Sn (0.250, 0.250, 0.250)

Results
Formation energy from the elements, eV per atom: -0.28



13.
VASP calculation (PBE-GGA) on a relaxed VReNi2H crystal.

a b c (Å): 3.584 3.584 4.000
angles (deg): 90.00 90.00 90.00
Positions (direct):
Re (0.500, 0.500, 0.500)
V (0.000, 0.000, 0.500)
H (0.000, 0.000, 0.000)
Ni (0.000, 0.500, 0.000)
Ni (0.500, 0.000, 0.000)

Results
Polymorph energy (0 for the lowest one), eV/atom: 0.000



14.
VASP calculation (PBE-GGA) on a relaxed BeOs2Ru crystal.

a b c (Å): 4.675 4.675 2.705
angles (deg): 90.00 90.00 114.92
Positions (direct):
Ru (0.500, 0.000, 0.500)
Os (0.000, 0.000, 0.000)
Os (0.500, 0.500, 0.000)
Be (0.000, 0.500, 0.500)

Results
Formation energy from the elements, eV per atom: 0.28



15.
VASP calculation (PBE-GGA) on a relaxed PrGdSc2 crystal.

a b c (Å): 3.916 3.916 7.597
angles (deg): 90.00 90.00 90.00
Site moments in Bohr magnetons follow the coordinates.
Positions (direct):
Pr (0.500, 0.500, 0.500)  -0.06
Sc (0.000, 0.000, 0.758)  0.00
Sc (0.000, 0.000, 0.242)  0.00
Gd (0.500, 0.500, 0.000)  7.16

Results
Formation energy from the elements, eV per atom: 0.07
Polymorph energy (0 for the lowest one), eV/atom: 0.018



16.
VASP calculation (PBE-GGA) on a relaxed V2ReIr crystal.

a b c (Å): 3.047 3.047 6.054
angles (deg): 90.00 90.00 90.00
Positions (direct):
Re (0.500, 0.500, 0.000)
Ir (0.500, 0.500, 0.500)
V (0.000, 0.000, 0.760)
V (0.000, 0.000, 0.240)

Results
Formation energy from the elements, eV per atom: -0.33



17.
VASP calculation (PBE-GGA) on a relaxed Be2PtCl crystal.

a b c (Å): 4.498 4.498 4.498
angles (deg): 130.10 130.10 73.25
Positions (direct):
Be (0.000, 0.000, 0.000)
Be (0.500, 0.500, 0.000)
Pt (0.750, 0.250, 0.500)
Cl (0.250, 0.750, 0.500)

Results
Polymorph energy (0 for the lowest one), eV/atom: 0.969



18.
VASP calculation (PBE-GGA) on a relaxed Nd2HoEr4Th crystal.

a b c (Å): 5.078 5.062 11.157
angles (deg): 63.05 90.00 90.00
Positions (direct):
Nd (0.000, 0.000, 0.000)
Nd (0.500, 0.000, 0.500)
Ho (0.000, 0.500, 0.500)
Er (0.000, 0.747, 0.753)
Er (0.000, 0.253, 0.247)
Er (0.500, 0.753, 0.247)
Er (0.500, 0.247, 0.753)
Th (0.500, 0.500, 0.000)

Results
Formation energy from the elements, eV per atom: 0.03



19.
VASP calculation (PBE-GGA) on a relaxed Nd2MgTl crystal.

a b c (Å): 5.053 5.053 6.941
angles (deg): 68.66 68.66 60.00
Positions (direct):
Nd (0.071, 0.071, 0.788)
Nd (0.266, 0.266, 0.202)
Mg (0.491, 0.491, 0.527)
Tl (0.672, 0.672, 0.983)

Results
Formation energy from the elements, eV per atom: 0.09
Polymorph energy (0 for the lowest one), eV/atom: 0.353



20.
VASP calculation (PBE-GGA) on a relaxed RbNbZn2Hg crystal.

a b c (Å): 6.694 6.618 6.694
angles (deg): 90.00 90.00 90.00
Site moments in Bohr magnetons follow the coordinates.
Positions (direct):
Zn (0.000, 0.000, 0.500)  0.03
Zn (0.500, 0.000, 0.000)  0.02
Nb (0.000, 0.500, 0.000)  3.39
Hg (0.500, 0.500, 0.500)  0.03
Rb (0.000, 0.000, 0.000)  0.07

Results
Formation energy from the elements, eV per atom: 1.64



21.
VASP calculation (PBE-GGA) on a relaxed Sr2ScMn crystal.

a b c (Å): 4.891 3.969 7.426
angles (deg): 74.53 90.00 90.00
Site moments in Bohr magnetons follow the coordinates.
Positions (direct):
Mn (0.000, 0.667, 0.539)  3.59
Sc (0.500, 0.581, 0.714)  -0.56
Sr (0.000, 0.971, 0.934)  -0.06
Sr (0.500, 0.281, 0.313)  -0.06

Results
Formation energy from the elements, eV per atom: 0.45
Polymorph energy (0 for the lowest one), eV/atom: 0.160



22.
VASP calculation (PBE-GGA) on a relaxed Sm3CdSb crystal.

a b c (Å): 5.030 8.062 8.909
angles (deg): 116.90 90.00 90.00
Positions (direct):
Sm (0.500, 0.324, 0.000)
Sm (0.000, 0.831, 0.662)
Sm (0.500, 0.676, 0.000)
Sm (0.500, 0.500, 0.500)
Sm (0.000, 0.169, 0.338)
Sm (0.500, 0.000, 0.500)
Cd (0.500, 0.086, 0.171)
Cd (0.500, 0.914, 0.829)
Sb (0.000, 0.632, 0.264)
Sb (0.000, 0.368, 0.736)

Results
E_tot, eV per atom: -3.967



23.
VASP calculation (PBE-GGA) on a relaxed FeTc2Cl crystal.

a b c (Å): 2.961 2.961 6.521
angles (deg): 90.00 90.00 90.00
Site moments in Bohr magnetons follow the coordinates.
Positions (direct):
Cl (0.500, 0.500, 0.250)  -0.01
Tc (0.000, 0.000, 0.966)  -0.02
Tc (0.000, 0.000, 0.534)  -0.02
Fe (0.500, 0.500, 0.750)  2.11

Results
Polymorph energy (0 for the lowest one), eV/atom: 0.175



24.
VASP calculation (PBE-GGA) on a relaxed Er3Ga2Hg6 crystal.

a b c (Å): 4.202 4.202 15.708
angles (deg): 97.69 97.69 90.00
Positions (direct):
Er (0.000, 0.000, 0.000)
Er (0.832, 0.832, 0.663)
Er (0.168, 0.168, 0.337)
Ga (0.358, 0.358, 0.716)
Ga (0.642, 0.642, 0.284)
Hg (0.074, 0.574, 0.149)
Hg (0.574, 0.074, 0.149)
Hg (0.926, 0.426, 0.851)
Hg (0.426, 0.926, 0.851)
Hg (0.731, 0.731, 0.461)
Hg (0.269, 0.269, 0.539)

Results
Formation energy from the elements, eV per atom: -0.21



25.
VASP calculation (PBE-GGA) on a relaxed Zr2InPd8 crystal.

a b c (Å): 4.615 5.970 7.931
angles (deg): 112.16 106.91 90.00
Positions (direct):
Zr (0.811, 0.311, 0.623)
Zr (0.189, 0.689, 0.377)
In (0.500, 0.000, 0.000)
Pd (0.355, 0.587, 0.709)
Pd (0.645, 0.878, 0.290)
Pd (0.822, 0.822, 0.644)
Pd (0.000, 0.265, 0.000)
Pd (0.178, 0.178, 0.356)
Pd (0.355, 0.122, 0.710)
Pd (0.645, 0.413, 0.291)
Pd (0.000, 0.735, 0.000)

Results
Formation energy from the elements, eV per atom: -0.56



26.
VASP calculation (PBE-GGA) on a relaxed Pr2YThP4 crystal.

a b c (Å): 4.146 7.157 7.190
angles (deg): 109.42 90.00 90.00
Positions (direct):
Pr (0.500, 0.000, 0.500)
Pr (0.000, 0.500, 0.500)
Y (0.000, 0.000, 0.000)
Th (0.500, 0.500, 0.000)
P (0.500, 0.245, 0.240)
P (0.500, 0.755, 0.760)
P (0.000, 0.251, 0.758)
P (0.000, 0.749, 0.242)

Results
Formation energy from the elements, eV per atom: -1.58